First-principles (PBE+U) data for an optimized crystal structure of SmY2MoO8, as listed in Alexandria via LeMat-Bulk.

Lattice parameters (Å, degrees): 5.072 5.071 6.902 90.00 90.00 90.53
Site moments in Bohr magnetons follow the coordinates.
Atoms (fractional coordinates):
Y1 0.500 0.500 0.754  -0.01
O1 0.687 0.687 0.500  0.13
O2 0.183 0.816 0.207  0.07
O3 0.313 0.313 0.500  0.13
O4 0.725 0.726 0.000  0.14
O5 0.817 0.184 0.793  0.07
Mo1 0.000 0.000 0.000  -0.08
Sm1 0.000 0.000 0.500  0.01
O6 0.183 0.816 0.793  0.07
O7 0.817 0.184 0.207  0.07
O8 0.275 0.274 0.000  0.14
Y2 0.500 0.500 0.246  -0.01

Calculated values
Theoretical density   5.16 g/cm3
Space-group type   Cmmm, No. 65
Uncorrected energy   -96.065 eV per formula unit
Density of states at the Fermi level   0.50 states/eV per atom